# ZnCr3P3O13 | Alexandria | PBE with a Hubbard U | optimized geometry
data_ZnCr3P3O13
_chemical_formula_sum 'Zn2 Cr6 P6 O26'
_cell_length_a 7.413
_cell_length_b 6.302
_cell_length_c 10.578
_cell_angle_alpha 90.00
_cell_angle_beta 100.16
_cell_angle_gamma 90.00
_space_group_name_H-M_alt 'P 1 21/m 1'
_space_group_IT_number 11
loop_
_space_group_symop_operation_xyz
'x,y,z'
'-x,-y,-z'
'-x,y+1/2,-z'
'x,-y+1/2,z'
loop_
_atom_site_label
_atom_site_fract_x
_atom_site_fract_y
_atom_site_fract_z
Zn1 0.117 0.250 0.140
Cr1 0.137 0.250 0.797
Cr2 0.269 0.750 0.449
Cr3 0.500 0.000 0.000
P1 0.195 0.750 0.126
P2 0.227 0.750 0.769
P3 0.287 0.250 0.518
O1 0.003 0.250 0.956
O2 0.102 0.563 0.797
O3 0.149 0.750 0.263
O4 0.161 0.250 0.620
O5 0.241 0.056 0.429
O6 0.286 0.750 0.640
O7 0.292 0.538 0.103
O8 0.376 0.250 0.907
O9 0.402 0.750 0.880
O10 0.488 0.250 0.590
# - Electronic total energy: -7.2359 eV per atom
# - Spin magnetization: 9.00 μB/f.u.